# MoRu2

MoRu2 after structural relaxation (PBE, the Alexandria database).

The calculation puts the calculated formation energy at -1 kJ/mol of formula units. For the calculated density, the calculation gives 11.4 g cm⁻³. For the uncorrected energy, the calculation gives -117.55 eV for the cell shown.

It has space group Cm (No. 8), with a = 9.999 Å, b = 2.764 Å, c = 6.497 Å, α = 90.00°, β = 103.99° and γ = 90.00°. The inequivalent atoms are Mo at (0.000, 0.000, 0.000), Mo at (0.174, 0.500, 0.342), Ru at (0.057, 0.000, 0.618), Ru at (0.225, 0.500, 0.949), Ru at (0.335, 0.000, 0.674) and Ru at (0.392, 0.000, 0.285).